The following is a PBE-GGA calculation of crystalline CrAgPCl2 at its relaxed geometry, from Alexandria via LeMat-Bulk.

Cell lengths 4.822, 4.822, 4.640 Å; angles 90.00, 90.00, 90.00 degrees
Last column: magnetic moment on the atom in μB.
Sites, in units of the cell vectors:
Cl 0.000 0.500 0.000  -0.05
Cl 0.500 0.000 0.000  -0.05
Ag 0.500 0.500 0.500  -0.02
P 0.000 0.000 0.500  -0.41
Cr 0.000 0.000 0.000  2.81

Summary:
- distance to the lowest polymorph of the same formula (kJ/mol of atoms) = 0.00
- ΔE_f (raw) (eV/atom) = 0.01